Compound: Mg2Zn2Pb
Source: Alexandria via LeMat-Bulk
Functional: PBEsol
Structure: relaxed

a = 7.836 Å, b = 7.836 Å, c = 3.274 Å
α = 90.00°, β = 90.00°, γ = 90.00°
Sites, in units of the cell vectors:
1 Mg 0.178 0.322 0.000
2 Mg 0.322 0.822 0.000
3 Mg 0.678 0.178 0.000
4 Mg 0.822 0.678 0.000
5 Zn 0.115 0.615 0.500
6 Zn 0.385 0.115 0.500
7 Zn 0.615 0.885 0.500
8 Zn 0.885 0.385 0.500
9 Pb 0.000 0.000 0.500
10 Pb 0.500 0.500 0.500

Values from the calculation:
Space group ... P4/mbm, No. 127
DOS(E_F) ... 0.346 states/eV per atom
Uncorrected energy ... -21.42 eV/cell
Spin magnetization ... 0.0000 μB/atom
Crystal system ... tetragonal

Compound: Li2AlPb
Source: Alexandria via LeMat-Bulk
Functional: PBEsol
Structure: relaxed

a = 3.229 Å, b = 4.689 Å, c = 4.968 Å
α = 90.00°, β = 90.00°, γ = 90.00°
Sites, in units of the cell vectors:
1 Li 0.000 0.000 0.000
2 Li 0.000 0.500 0.356
3 Al 0.500 0.000 0.484
4 Pb 0.500 0.500 0.856

Values from the calculation:
Space group ... Pmm2, No. 25
DOS(E_F) ... 0.233 states/eV per atom
Uncorrected energy ... -12.69 eV/cell
Spin magnetization ... 0.0000 μB/atom
Crystal system ... orthorhombic

Compound: Mn2IrSe
Source: Alexandria via LeMat-Bulk
Functional: PBEsol
Structure: relaxed

a = 4.604 Å, b = 4.604 Å, c = 4.604 Å
α = 129.23°, β = 129.23°, γ = 74.64°
Sites, in units of the cell vectors:
1 Mn 0.250 0.750 0.500
2 Mn 0.750 0.250 0.500
3 Ir 0.000 0.000 0.000
4 Se 0.500 0.500 0.000

Values from the calculation:
Space group ... I4/mmm, No. 139
DOS(E_F) ... 0.890 states/eV per atom
Uncorrected energy ... -31.97 eV/cell
Raw formation energy ... 0.307 eV per atom
Spin magnetization ... 1.8030 μB/atom
Crystal system ... tetragonal

Compound: CaTaI2N
Source: Alexandria via LeMat-Bulk
Functional: PBEsol
Structure: relaxed

a = 5.675 Å, b = 5.675 Å, c = 3.935 Å
α = 90.00°, β = 90.00°, γ = 90.00°
Sites, in units of the cell vectors:
1 Ca 0.000 0.000 0.000
2 Ta 0.500 0.500 0.500
3 I 0.000 0.500 0.500
4 I 0.500 0.000 0.500
5 N 0.500 0.500 0.000

Values from the calculation:
Space group ... P4/mmm, No. 123
DOS(E_F) ... 0.643 states/eV per atom
Uncorrected energy ... -28.48 eV/cell
Raw formation energy ... -0.348 eV per atom
Spin magnetization ... 0.1102 μB/atom
Crystal system ... tetragonal

Compound: TiAl2V
Source: Alexandria via LeMat-Bulk
Functional: PBEsol
Structure: relaxed

a = 2.708 Å, b = 2.708 Å, c = 8.050 Å
α = 90.00°, β = 90.00°, γ = 90.00°
Sites, in units of the cell vectors:
1 Ti 0.000 0.000 0.000
2 Al 0.500 0.500 0.260
3 Al 0.500 0.500 0.740
4 V 0.000 0.000 0.500

Values from the calculation:
Space group ... P4/mmm, No. 123
DOS(E_F) ... 0.704 states/eV per atom
Uncorrected energy ... -27.31 eV/cell
Spin magnetization ... 0.0001 μB/atom
Crystal system ... tetragonal

Compound: TcRhW2
Source: Alexandria via LeMat-Bulk
Functional: PBEsol
Structure: relaxed

a = 2.738 Å, b = 3.872 Å, c = 5.580 Å
α = 90.00°, β = 90.00°, γ = 90.00°
Sites, in units of the cell vectors:
1 Tc 0.000 0.000 0.000
2 Rh 0.500 0.500 0.746
3 W 0.000 0.000 0.510
4 W 0.500 0.500 0.236

Values from the calculation:
Space group ... Pmm2, No. 25
DOS(E_F) ... 1.012 states/eV per atom
Uncorrected energy ... -46.58 eV/cell
Spin magnetization ... 0.0000 μB/atom
Crystal system ... orthorhombic